[1]
KMn2In: optimized geometry, PBE.

Its density is 4.7 Mg/m³. Its formation energy is 881.0 meV/atom. For the magnetization, the calculation gives 16.1 μB per cell. The density of states at the Fermi level comes out at 7.17 states/eV per cell.

The structure belongs to space group Cmmm (No. 65); the cell edges are 6.6473, 9.1316 and 3.0680 Å and the angles 90.00°, 90.00° and 90.00°. The inequivalent atoms are K at (0.0000, 0.0000, 0.0000), Mn at (0.2500, 0.2500, 0.5000) and In at (0.0000, 0.5000, 0.0000).


[2]
Ir6Os2Ru: optimized geometry, PBE.

The calculation puts the offset from the most stable computed form at 518 meV/atom. Its density is 18.3 Mg/m³. Its formation energy is 516.4 meV/atom. For the magnetization, the calculation gives 0.0 μB per cell. The density of states at the Fermi level comes out at 29.11 states/eV per cell.

The structure belongs to space group R3m (No. 160, hexagonal axes); the cell edges are 5.2555, 5.2555 and 18.5696 Å and the angles 90.00°, 90.00° and 120.00°. The inequivalent atoms are Ir at (0.1710, 0.3419, 0.0000), Ir at (0.1721, 0.3442, 0.2145), Os at (0.0000, 0.0000, 0.7150), Os at (0.0000, 0.0000, 0.8409) and Ru at (0.0000, 0.0000, 0.1046).


[3]
La2Nd4Te3N2: optimized geometry, PBE.

Its density is 6.9 Mg/m³. For the magnetization, the calculation gives 0.0 μB per cell. The calculation puts the uncorrected formation energy at -1320 kJ/mol of formula units. The density of states at the Fermi level comes out at 15.36 states/eV per cell.

The structure belongs to space group I4/mmm (No. 139); the cell edges are 4.7885, 4.7885 and 26.5608 Å and the angles 90.00°, 90.00° and 90.00°. The inequivalent atoms are La at (0.0000, 0.0000, 0.1924), Nd at (0.0000, 0.5000, 0.0806), Te at (0.0000, 0.0000, 0.3248), Te at (0.0000, 0.0000, 0.5000) and N at (0.0000, 0.0000, 0.1074).


[4]
Dy2CdPd: optimized geometry, PBE.

The calculation puts the offset from the most stable computed form at 55 meV/atom. Its density is 9.5 Mg/m³. Its formation energy is -551.2 meV/atom. For the magnetization, the calculation gives 0.0 μB per cell. The density of states at the Fermi level comes out at 10.14 states/eV per cell.

The structure belongs to space group Fm-3m (No. 225); the cell edges are 7.2424, 7.2424 and 7.2424 Å and the angles 90.00°, 90.00° and 90.00°. The inequivalent atoms are Dy at (0.2500, 0.2500, 0.2500), Cd at (0.0000, 0.0000, 0.0000) and Pd at (0.0000, 0.0000, 0.5000).


[5]
BeCrAs: optimized geometry, PBE.

The calculation puts the offset from the most stable computed form at 217 meV/atom. Its density is 5.5 Mg/m³. Its formation energy is 222.2 meV/atom. For the magnetization, the calculation gives 1.2 μB per cell. The density of states at the Fermi level comes out at 1.06 states/eV per cell.

The structure belongs to space group P4mm (No. 99); the cell edges are 2.7698, 2.7698 and 5.3496 Å and the angles 90.00°, 90.00° and 90.00°. The inequivalent atoms are Be at (0.0000, 0.0000, 0.0000), Cr at (0.5000, 0.5000, 0.7264) and As at (0.0000, 0.0000, 0.4301).


[6]
Tl2BSeBr: optimized geometry, PBE.

Its density is 4.8 Mg/m³. For the magnetization, the calculation gives 1.3 μB per cell. The calculation puts the uncorrected formation energy at 497 kJ/mol of formula units. The density of states at the Fermi level comes out at 4.45 states/eV per cell.

The structure belongs to space group P4/mmm (No. 123); the cell edges are 6.1951, 6.1951 and 5.2062 Å and the angles 90.00°, 90.00° and 90.00°. The inequivalent atoms are Tl at (0.0000, 0.5000, 0.0000), B at (0.0000, 0.0000, 0.5000), Se at (0.5000, 0.5000, 0.0000) and Br at (0.5000, 0.5000, 0.5000).


[7]
PmPu2Ru: optimized geometry, PBE.

The calculation puts the offset from the most stable computed form at 9 meV/atom. Its density is 12.2 Mg/m³. Its formation energy is -36.0 meV/atom. For the magnetization, the calculation gives 1.0 μB per cell. The density of states at the Fermi level comes out at 123.06 states/eV per cell.

The structure belongs to space group Pnma (No. 62); the cell edges are 14.2239, 9.5418 and 5.9007 Å and the angles 90.00°, 90.00° and 90.00°. The inequivalent atoms are Pm at (0.1056, 0.2500, 0.2394), Pm at (0.1434, 0.7500, 0.9649), Pu at (0.0348, 0.0546, 0.7459), Pu at (0.2153, 0.5557, 0.4498), Ru at (0.0728, 0.7500, 0.4742) and Ru at (0.1744, 0.2500, 0.7292).


[8]
La5Ga2Au2: optimized geometry, PBE.

Its density is 7.7 Mg/m³. Its formation energy is -611.9 meV/atom. For the magnetization, the calculation gives 0.0 μB per cell. The density of states at the Fermi level comes out at 43.71 states/eV per cell.

The structure belongs to space group Cmce (No. 64); the cell edges are 16.5540, 8.0361 and 7.9426 Å and the angles 90.00°, 90.00° and 90.00°. The inequivalent atoms are La at (0.0000, 0.0000, 0.0000), La at (0.1405, 0.1786, 0.3292), Ga at (0.0000, 0.1169, 0.6150) and Au at (0.2072, 0.0000, 0.0000).


[9]
Ac6TbDy2: optimized geometry, PBE.

Its density is 8.2 Mg/m³. Its formation energy is 165.9 meV/atom. For the magnetization, the calculation gives 0.0 μB per cell. The density of states at the Fermi level comes out at 59.41 states/eV per cell.

The structure belongs to space group C2/c (No. 15); the cell edges are 16.0026, 9.4778 and 10.0292 Å and the angles 90.00°, 99.78° and 90.00°. The inequivalent atoms are Ac at (0.1012, 0.1922, 0.1236), Ac at (0.1189, 0.4342, 0.8320), Ac at (0.1349, 0.2201, 0.5154), Tb at (0.0000, 0.1026, 0.7500) and Dy at (0.2182, 0.0787, 0.8496).


[10]
HoZrCdTc: optimized geometry, PBE.

Its density is 9.2 Mg/m³. Its formation energy is -108.8 meV/atom. For the magnetization, the calculation gives 0.0 μB per cell. The density of states at the Fermi level comes out at 15.43 states/eV per cell.

The structure belongs to space group F-43m (No. 216); the cell edges are 6.9498, 6.9498 and 6.9498 Å and the angles 90.00°, 90.00° and 90.00°. The inequivalent atoms are Ho at (0.0000, 0.0000, 0.0000), Zr at (0.0000, 0.0000, 0.5000), Cd at (0.2500, 0.2500, 0.2500) and Tc at (0.2500, 0.2500, 0.7500).


[11]
TaHI2: optimized geometry, PBE.

Its density is 8.8 Mg/m³. For the magnetization, the calculation gives 7.5 μB per cell. As for the electronic total energy: -60.34 eV for the cell shown. The density of states at the Fermi level comes out at 4.88 states/eV per cell.

The structure belongs to space group Fm-3m (No. 225); the cell edges are 6.9039, 6.9039 and 6.9039 Å and the angles 90.00°, 90.00° and 90.00°. The inequivalent atoms are Ta at (0.0000, 0.0000, 0.0000), H at (0.0000, 0.0000, 0.5000) and I at (0.2500, 0.2500, 0.2500).


[12]
SrDy2Pu: optimized geometry, PBE.

Its density is 7.9 Mg/m³. Its formation energy is 317.5 meV/atom. For the magnetization, the calculation gives 18.6 μB per cell. The density of states at the Fermi level comes out at 36.97 states/eV per cell.

The structure belongs to space group R-3m (No. 166, hexagonal axes); the cell edges are 3.5622, 3.5622 and 37.6888 Å and the angles 90.00°, 90.00° and 120.00°. The inequivalent atoms are Sr at (0.0000, 0.0000, 0.0000), Dy at (0.0000, 0.0000, 0.0937) and Pu at (0.0000, 0.0000, 0.5000).


Q: Number 3 is which compound?
A: La2Nd4Te3N2


Q: density of states at the Fermi level of number 10 (HoZrCdTc)?
A: 15.43 states/eV per cell